(1)
# Hf3Ti5Bi2 PBE-GGA relaxed
# DFT total energy in eV/atom: -7.6051
# E_form in kJ/mol of formula units: 101
# DOS at the Fermi energy in states/eV/cell: 46.66
data_Hf3Ti5Bi2
_cell_length_a 10.5718
_cell_length_b 14.7538
_cell_length_c 5.5343
_cell_angle_alpha 90.00
_cell_angle_beta 90.00
_cell_angle_gamma 90.00
_symmetry_space_group_name_H-M 'I b a m'
_symmetry_Int_Tables_number 72
_symmetry_space_group_name_Hall '-I 2 2c'
loop_
_atom_site_label
_atom_site_type_symbol
_atom_site_fract_x
_atom_site_fract_y
_atom_site_fract_z
_atom_site_occupancy
Hf1 Hf 0.0000 0.0000 0.2500 1
Hf2 Hf 0.2262 0.3125 0.0000 1
Ti1 Ti 0.0000 0.1940 0.2500 1
Ti2 Ti 0.0000 0.5000 0.2500 1
Ti3 Ti 0.0460 0.3393 0.5000 1
Bi1 Bi 0.2170 0.0916 0.0000 1

(2)
# HfTiBi3 PBE-GGA relaxed
# DFT total energy in eV/atom: -5.2113
# E_form in kJ/mol of formula units: 331
# DOS at the Fermi energy in states/eV/cell: 8.35
data_HfTiBi3
_cell_length_a 5.3500
_cell_length_b 5.3500
_cell_length_c 5.3500
_cell_angle_alpha 90.00
_cell_angle_beta 90.00
_cell_angle_gamma 90.00
_symmetry_space_group_name_H-M 'P m -3 m'
_symmetry_Int_Tables_number 221
_symmetry_space_group_name_Hall '-P 4 2 3'
loop_
_atom_site_label
_atom_site_type_symbol
_atom_site_fract_x
_atom_site_fract_y
_atom_site_fract_z
_atom_site_occupancy
Hf1 Hf 0.0000 0.0000 0.0000 1
Ti1 Ti 0.5000 0.5000 0.5000 1
Bi1 Bi 0.0000 0.5000 0.5000 1

(3)
# HfTi2Bi PBE-GGA relaxed
# DFT total energy in eV/atom: -6.9204
# E_form in kJ/mol of formula units: 187
# DOS at the Fermi energy in states/eV/cell: 21.20
data_HfTi2Bi
_cell_length_a 7.8252
_cell_length_b 7.8252
_cell_length_c 5.8172
_cell_angle_alpha 90.00
_cell_angle_beta 90.00
_cell_angle_gamma 90.00
_symmetry_space_group_name_H-M 'I -4 2 d'
_symmetry_Int_Tables_number 122
_symmetry_space_group_name_Hall 'I -4 2bw'
loop_
_atom_site_label
_atom_site_type_symbol
_atom_site_fract_x
_atom_site_fract_y
_atom_site_fract_z
_atom_site_occupancy
Hf1 Hf 0.0000 0.0000 0.0000 1
Ti1 Ti 0.2432 0.2500 0.6250 1
Bi1 Bi 0.0000 0.0000 0.5000 1

(4)
# HfTi6Bi PBE-GGA relaxed
# DFT total energy in eV/atom: -7.6546
# E_form in kJ/mol of formula units: -3
# DOS at the Fermi energy in states/eV/cell: 18.74
data_HfTi6Bi
_cell_length_a 4.7289
_cell_length_b 6.4800
_cell_length_c 9.8143
_cell_angle_alpha 90.00
_cell_angle_beta 90.00
_cell_angle_gamma 90.00
_symmetry_space_group_name_H-M 'A m m 2'
_symmetry_Int_Tables_number 38
loop_
_symmetry_equiv_pos_as_xyz
'x,y,z'
'-x,-y,z'
'-x,y,z'
'x,-y,z'
'x,y+1/2,z+1/2'
'-x,-y+1/2,z+1/2'
'-x,y+1/2,z+1/2'
'x,-y+1/2,z+1/2'
loop_
_atom_site_label
_atom_site_type_symbol
_atom_site_fract_x
_atom_site_fract_y
_atom_site_fract_z
_atom_site_occupancy
Hf1 Hf 0.0000 0.0000 0.0000 1
Ti1 Ti 0.0000 0.0000 0.5026 1
Ti2 Ti 0.0000 0.2169 0.7468 1
Ti3 Ti 0.5000 0.0000 0.7948 1
Ti4 Ti 0.5000 0.2172 0.5261 1
Bi1 Bi 0.5000 0.0000 0.2635 1

(5)
# Hf3Ti2Bi3 PBE-GGA relaxed
# DFT total energy in eV/atom: -7.0516
# E_form in kJ/mol of formula units: 85
# DOS at the Fermi energy in states/eV/cell: 23.53
data_Hf3Ti2Bi3
_cell_length_a 4.8169
_cell_length_b 11.4152
_cell_length_c 13.4236
_cell_angle_alpha 90.00
_cell_angle_beta 90.00
_cell_angle_gamma 90.00
_symmetry_space_group_name_H-M 'C m c m'
_symmetry_Int_Tables_number 63
_symmetry_space_group_name_Hall '-C 2c 2'
loop_
_atom_site_label
_atom_site_type_symbol
_atom_site_fract_x
_atom_site_fract_y
_atom_site_fract_z
_atom_site_occupancy
Hf1 Hf 0.0000 0.0505 0.1213 1
Hf2 Hf 0.0000 0.2987 0.2500 1
Ti1 Ti 0.0000 0.2051 0.6218 1
Bi1 Bi 0.0000 0.3713 0.0351 1
Bi2 Bi 0.0000 0.4061 0.7500 1

(6)
# HfTiBi3 PBE-GGA relaxed
# DFT total energy in eV/atom: -5.8181
# E_form in kJ/mol of formula units: 39
# DOS at the Fermi energy in states/eV/cell: 23.37
data_HfTiBi3
_cell_length_a 13.8236
_cell_length_b 12.1461
_cell_length_c 7.3158
_cell_angle_alpha 90.00
_cell_angle_beta 102.87
_cell_angle_gamma 90.00
_symmetry_space_group_name_H-M 'C 1 2/c 1'
_symmetry_Int_Tables_number 15
loop_
_symmetry_equiv_pos_as_xyz
'x,y,z'
'-x,-y,-z'
'-x,y,-z+1/2'
'x,-y,z+1/2'
'x+1/2,y+1/2,z'
'-x+1/2,-y+1/2,-z'
'-x+1/2,y+1/2,-z+1/2'
'x+1/2,-y+1/2,z+1/2'
loop_
_atom_site_label
_atom_site_type_symbol
_atom_site_fract_x
_atom_site_fract_y
_atom_site_fract_z
_atom_site_occupancy
Hf1 Hf 0.0000 0.0650 0.2500 1
Hf2 Hf 0.0000 0.2563 0.7500 1
Ti1 Ti 0.2488 0.4038 0.6287 1
Bi1 Bi 0.1079 0.2547 0.4432 1
Bi2 Bi 0.1212 0.4444 0.8989 1
Bi3 Bi 0.1403 0.0971 0.9772 1

Which of these has the lowest DFT total energy? HfTi6Bi

The lowest DOS at the Fermi energy belongs to which entry? number 2